Entry 1:
# PBE TlSnTe3Au, optimized geometry
data_TlSnTe3Au
_cell_length_a 12.068
_cell_length_b 4.434
_cell_length_c 13.435
_cell_angle_alpha 90.00
_cell_angle_beta 90.00
_cell_angle_gamma 90.00
_symmetry_space_group_name_H-M 'P n m a'
_symmetry_Int_Tables_number 62
loop_
_symmetry_equiv_pos_as_xyz
'x,y,z'
'-x,-y,-z'
'-x+1/2,-y,z+1/2'
'x+1/2,y,-z+1/2'
'x+1/2,-y+1/2,-z+1/2'
'-x+1/2,y+1/2,z+1/2'
'-x,y+1/2,-z'
'x,-y+1/2,z'
loop_
_atom_site_label
_atom_site_fract_x
_atom_site_fract_y
_atom_site_fract_z
Tl1 0.249 0.250 0.021
Sn1 0.005 0.250 0.750
Te1 0.026 0.250 0.405
Te2 0.033 0.750 0.905
Te3 0.246 0.750 0.215
Au1 0.246 0.250 0.354
# Total energy ... -80.24 eV per cell
# Distance to the lowest polymorph of the same formula ... 4 meV/atom

Entry 2:
# PBE YSnTe2AuSe, optimized geometry
data_YSnTe2AuSe
_cell_length_a 4.250
_cell_length_b 14.742
_cell_length_c 10.476
_cell_angle_alpha 90.00
_cell_angle_beta 90.00
_cell_angle_gamma 90.00
_symmetry_space_group_name_H-M 'C m c m'
_symmetry_Int_Tables_number 63
_symmetry_space_group_name_Hall '-C 2c 2'
loop_
_atom_site_label
_atom_site_fract_x
_atom_site_fract_y
_atom_site_fract_z
Y1 0.000 0.000 0.000
Sn1 0.000 0.253 0.250
Te1 0.000 0.348 0.556
Au1 0.000 0.476 0.750
Se1 0.000 0.089 0.750
# Total energy ... -111.38 eV per cell

Entry 3:
# PBE SbMo2C, optimized geometry
data_SbMo2C
_cell_length_a 9.746
_cell_length_b 5.622
_cell_length_c 13.572
_cell_angle_alpha 90.00
_cell_angle_beta 104.40
_cell_angle_gamma 90.00
_symmetry_space_group_name_H-M 'C 1 2/c 1'
_symmetry_Int_Tables_number 15
loop_
_symmetry_equiv_pos_as_xyz
'x,y,z'
'-x,-y,-z'
'-x,y,-z+1/2'
'x,-y,z+1/2'
'x+1/2,y+1/2,z'
'-x+1/2,-y+1/2,-z'
'-x+1/2,y+1/2,-z+1/2'
'x+1/2,-y+1/2,z+1/2'
loop_
_atom_site_label
_atom_site_fract_x
_atom_site_fract_y
_atom_site_fract_z
Sb1 0.000 0.083 0.250
Sb2 0.167 0.417 0.750
Mo1 0.054 0.417 0.418
Mo2 0.111 0.085 0.581
Mo3 0.222 0.082 0.919
C1 0.084 0.249 0.000
C2 0.250 0.250 0.500
# Total energy ... -416.42 eV per cell